Entry 1:
Computed, not measured: TlBiOs2 after structural relaxation at the GGA-PBE level of DFT.

Output
E_form ... 25.7 kcal/mol of atoms
E_tot ... -6.064 eV per atom
Distance to the lowest polymorph of the same formula ... 0.0 meV/atom
Volume ... 75.1 Å³/cell

```
data_TlBiOs2
_symmetry_space_group_name_H-M 'P 1'
_symmetry_Int_Tables_number 1
_cell_length_a 4.735
_cell_length_b 4.735
_cell_length_c 4.735
_cell_angle_alpha 60.00
_cell_angle_beta 60.00
_cell_angle_gamma 60.00
loop_
_symmetry_equiv_pos_as_xyz
'x,y,z'
loop_
_atom_site_label
_atom_site_fract_x
_atom_site_fract_y
_atom_site_fract_z
Tl1 0.000 0.000 0.000
Bi1 0.500 0.500 0.500
Os1 0.250 0.250 0.250
Os2 0.750 0.750 0.750
```

***

Entry 2:
Computed, not measured: CaLa2TlPd after structural relaxation at the GGA-PBE level of DFT.

Output
E_form ... -7.1 kcal/mol of atoms
E_tot ... -4.192 eV per atom
Volume ... 175.6 Å³/cell

```
data_CaLa2TlPd
_symmetry_space_group_name_H-M 'P 1'
_symmetry_Int_Tables_number 1
_cell_length_a 5.611
_cell_length_b 5.611
_cell_length_c 5.577
_cell_angle_alpha 90.00
_cell_angle_beta 90.00
_cell_angle_gamma 90.00
loop_
_symmetry_equiv_pos_as_xyz
'x,y,z'
loop_
_atom_site_label
_atom_site_fract_x
_atom_site_fract_y
_atom_site_fract_z
Ca1 0.000 0.000 0.000
La1 0.000 0.500 0.500
La2 0.500 0.000 0.500
Tl1 0.500 0.500 0.000
Pd1 0.000 0.000 0.500
```

***

Entry 3:
Computed, not measured: Ac6InTe12 after structural relaxation at the GGA-PBE level of DFT.

Output
E_form (uncorrected) ... -1210 meV/atom
E_tot ... -4.636 eV per atom
Volume ... 788.5 Å³/cell

```
data_Ac6InTe12
_symmetry_space_group_name_H-M 'P 1'
_symmetry_Int_Tables_number 1
_cell_length_a 9.333
_cell_length_b 9.333
_cell_length_c 9.333
_cell_angle_alpha 97.76
_cell_angle_beta 97.76
_cell_angle_gamma 97.76
loop_
_symmetry_equiv_pos_as_xyz
'x,y,z'
loop_
_atom_site_label
_atom_site_fract_x
_atom_site_fract_y
_atom_site_fract_z
Ac1 0.147 0.828 0.639
Ac2 0.172 0.361 0.853
Ac3 0.361 0.853 0.172
Ac4 0.639 0.147 0.828
Ac5 0.828 0.639 0.147
Ac6 0.853 0.172 0.361
In1 0.500 0.500 0.500
Te1 0.072 0.924 0.316
Te2 0.076 0.684 0.928
Te3 0.155 0.465 0.507
Te4 0.316 0.072 0.924
Te5 0.465 0.507 0.155
Te6 0.493 0.845 0.535
Te7 0.507 0.155 0.465
Te8 0.535 0.493 0.845
Te9 0.684 0.928 0.076
Te10 0.845 0.535 0.493
Te11 0.924 0.316 0.072
Te12 0.928 0.076 0.684
```

***

Entry 4:
Computed, not measured: CoAsBr2 after structural relaxation at the GGA-PBE level of DFT.

Output
E_form (uncorrected) ... 36 meV/atom
E_tot ... -3.739 eV per atom
Distance to the lowest polymorph of the same formula ... 116.8 meV/atom
Volume ... 141.7 Å³/cell

```
data_CoAsBr2
_symmetry_space_group_name_H-M 'P 1'
_symmetry_Int_Tables_number 1
_cell_length_a 8.652
_cell_length_b 8.652
_cell_length_c 8.652
_cell_angle_alpha 155.73
_cell_angle_beta 147.77
_cell_angle_gamma 40.75
loop_
_symmetry_equiv_pos_as_xyz
'x,y,z'
loop_
_atom_site_label
_atom_site_fract_x
_atom_site_fract_y
_atom_site_fract_z
Co1 0.000 0.000 0.000
As1 0.086 0.586 0.500
Br1 0.654 0.654 0.000
Br2 0.898 0.398 0.500
```

***

Entry 5:
Computed, not measured: PtC2 after structural relaxation at the GGA-PBE level of DFT.

Output
E_form ... 31.4 kcal/mol of atoms
E_tot ... -6.800 eV per atom
Distance to the lowest polymorph of the same formula ... 1041.9 meV/atom
Volume ... 57.7 Å³/cell

```
data_PtC2
_symmetry_space_group_name_H-M 'P 1'
_symmetry_Int_Tables_number 1
_cell_length_a 8.434
_cell_length_b 8.434
_cell_length_c 2.603
_cell_angle_alpha 90.00
_cell_angle_beta 90.00
_cell_angle_gamma 161.83
loop_
_symmetry_equiv_pos_as_xyz
'x,y,z'
loop_
_atom_site_label
_atom_site_fract_x
_atom_site_fract_y
_atom_site_fract_z
Pt1 0.118 0.882 0.750
Pt2 0.882 0.118 0.250
C1 0.254 0.746 0.250
C2 0.477 0.523 0.250
C3 0.523 0.477 0.750
C4 0.746 0.254 0.750
```

***

Entry 6:
Computed, not measured: Cs2LaBr6 after structural relaxation at the GGA-PBE level of DFT.

Output
E_form (uncorrected) ... -1627 meV/atom
E_tot ... -3.479 eV per atom
Volume ... 345.9 Å³/cell

```
data_Cs2LaBr6
_symmetry_space_group_name_H-M 'P 1'
_symmetry_Int_Tables_number 1
_cell_length_a 4.742
_cell_length_b 9.186
_cell_length_c 9.186
_cell_angle_alpha 120.17
_cell_angle_beta 90.00
_cell_angle_gamma 90.00
loop_
_symmetry_equiv_pos_as_xyz
'x,y,z'
loop_
_atom_site_label
_atom_site_fract_x
_atom_site_fract_y
_atom_site_fract_z
Cs1 0.000 0.167 0.833
Cs2 0.000 0.833 0.167
La1 0.500 0.502 0.502
Br1 0.000 0.274 0.500
Br2 0.000 0.500 0.274
Br3 0.000 0.729 0.729
Br4 0.500 0.162 0.162
Br5 0.500 0.500 0.839
Br6 0.500 0.839 0.500
```

***

Entry 7:
Computed, not measured: CeEr2Sb after structural relaxation at the GGA-PBE level of DFT.

Output
E_form (uncorrected) ... -228 meV/atom
E_tot ... -5.023 eV per atom
Distance to the lowest polymorph of the same formula ... 238.3 meV/atom
Volume ... 130.1 Å³/cell

```
data_CeEr2Sb
_symmetry_space_group_name_H-M 'P 1'
_symmetry_Int_Tables_number 1
_cell_length_a 9.880
_cell_length_b 9.880
_cell_length_c 9.880
_cell_angle_alpha 23.08
_cell_angle_beta 23.08
_cell_angle_gamma 23.08
loop_
_symmetry_equiv_pos_as_xyz
'x,y,z'
loop_
_atom_site_label
_atom_site_fract_x
_atom_site_fract_y
_atom_site_fract_z
Ce1 0.000 0.000 0.000
Er1 0.234 0.234 0.234
Er2 0.434 0.434 0.434
Sb1 0.834 0.834 0.834
```

***

Entry 8:
Computed, not measured: AuSIN2 after structural relaxation at the GGA-PBE level of DFT.

Output
E_form (uncorrected) ... 1700 meV/atom
E_tot ... -3.421 eV per atom
Distance to the lowest polymorph of the same formula ... 106.5 meV/atom
Volume ... 125.3 Å³/cell

```
data_AuSIN2
_symmetry_space_group_name_H-M 'P 1'
_symmetry_Int_Tables_number 1
_cell_length_a 3.976
_cell_length_b 3.976
_cell_length_c 7.928
_cell_angle_alpha 90.00
_cell_angle_beta 90.00
_cell_angle_gamma 90.00
loop_
_symmetry_equiv_pos_as_xyz
'x,y,z'
loop_
_atom_site_label
_atom_site_fract_x
_atom_site_fract_y
_atom_site_fract_z
Au1 0.000 0.000 0.000
S1 0.000 0.000 0.500
I1 0.500 0.500 0.500
N1 0.000 0.500 0.000
N2 0.500 0.000 0.000
```

***

Entry 9:
Computed, not measured: KSc2Ga after structural relaxation at the GGA-PBE level of DFT.

Output
E_form ... 11.6 kcal/mol of atoms
E_tot ... -3.693 eV per atom
Volume ... 117.5 Å³/cell

```
data_KSc2Ga
_symmetry_space_group_name_H-M 'P 1'
_symmetry_Int_Tables_number 1
_cell_length_a 12.594
_cell_length_b 12.594
_cell_length_c 12.594
_cell_angle_alpha 15.07
_cell_angle_beta 15.07
_cell_angle_gamma 15.07
loop_
_symmetry_equiv_pos_as_xyz
'x,y,z'
loop_
_atom_site_label
_atom_site_fract_x
_atom_site_fract_y
_atom_site_fract_z
K1 0.000 0.000 0.000
Sc1 0.425 0.425 0.425
Sc2 0.575 0.575 0.575
Ga1 0.500 0.500 0.500
```

***

Entry 10:
Computed, not measured: CeHoSbSe after structural relaxation at the GGA-PBE level of DFT.

Output
E_form (uncorrected) ... -1327 meV/atom
E_tot ... -5.857 eV per atom
Volume ... 114.1 Å³/cell

```
data_CeHoSbSe
_symmetry_space_group_name_H-M 'P 1'
_symmetry_Int_Tables_number 1
_cell_length_a 7.951
_cell_length_b 7.951
_cell_length_c 7.951
_cell_angle_alpha 30.41
_cell_angle_beta 30.41
_cell_angle_gamma 30.41
loop_
_symmetry_equiv_pos_as_xyz
'x,y,z'
loop_
_atom_site_label
_atom_site_fract_x
_atom_site_fract_y
_atom_site_fract_z
Ce1 0.000 0.000 0.000
Ho1 0.166 0.166 0.166
Sb1 0.578 0.578 0.578
Se1 0.755 0.755 0.755
```

***

Entry 11:
Computed, not measured: CaLa3Te after structural relaxation at the GGA-PBE level of DFT.

Output
E_form (uncorrected) ... 449 meV/atom
E_tot ... -3.536 eV per atom
Distance to the lowest polymorph of the same formula ... 753.2 meV/atom
Volume ... 187.5 Å³/cell

```
data_CaLa3Te
_symmetry_space_group_name_H-M 'P 1'
_symmetry_Int_Tables_number 1
_cell_length_a 5.723
_cell_length_b 5.723
_cell_length_c 5.723
_cell_angle_alpha 90.00
_cell_angle_beta 90.00
_cell_angle_gamma 90.00
loop_
_symmetry_equiv_pos_as_xyz
'x,y,z'
loop_
_atom_site_label
_atom_site_fract_x
_atom_site_fract_y
_atom_site_fract_z
Ca1 0.000 0.000 0.000
La1 0.000 0.000 0.500
La2 0.000 0.500 0.000
La3 0.500 0.000 0.000
Te1 0.500 0.500 0.500
```

***

Entry 12:
Computed, not measured: CeTm2Mg after structural relaxation at the GGA-PBE level of DFT.

Output
E_form ... 3.8 kcal/mol of atoms
E_tot ... -3.955 eV per atom
Distance to the lowest polymorph of the same formula ... 151.9 meV/atom
Volume ... 114.1 Å³/cell

```
data_CeTm2Mg
_symmetry_space_group_name_H-M 'P 1'
_symmetry_Int_Tables_number 1
_cell_length_a 5.445
_cell_length_b 5.445
_cell_length_c 5.445
_cell_angle_alpha 60.00
_cell_angle_beta 60.00
_cell_angle_gamma 60.00
loop_
_symmetry_equiv_pos_as_xyz
'x,y,z'
loop_
_atom_site_label
_atom_site_fract_x
_atom_site_fract_y
_atom_site_fract_z
Ce1 0.000 0.000 0.000
Tm1 0.250 0.250 0.250
Tm2 0.750 0.750 0.750
Mg1 0.500 0.500 0.500
```

***

Question: Which value of E_tot does entry 6 give?
Answer: -3.479 eV per atom